# 1
# LiMgIn4Ag2 PBE relaxed
data_LiMgIn4Ag2
_cell_length_a 4.353
_cell_length_b 4.353
_cell_length_c 10.020
_cell_angle_alpha 90.00
_cell_angle_beta 90.00
_cell_angle_gamma 90.00
_symmetry_space_group_name_H-M 'P 4/m m m'
_symmetry_Int_Tables_number 123
_symmetry_space_group_name_Hall '-P 4 2'
loop_
_atom_site_label
_atom_site_fract_x
_atom_site_fract_y
_atom_site_fract_z
_atom_site_occupancy
Li1 0.000 0.000 0.000 1
Mg1 0.000 0.000 0.500 1
In1 0.000 0.500 0.176 1
Ag1 0.500 0.500 0.368 1
# magnetic moment: 0.00 μB per formula unit
# ΔH_f (0 K): 0.36 eV/f.u.

=====

# 2
# U2BeCo4P3 PBE relaxed
data_U2BeCo4P3
_cell_length_a 3.788
_cell_length_b 3.788
_cell_length_c 9.293
_cell_angle_alpha 90.00
_cell_angle_beta 90.00
_cell_angle_gamma 90.00
_symmetry_space_group_name_H-M 'P -4 m 2'
_symmetry_Int_Tables_number 115
loop_
_symmetry_equiv_pos_as_xyz
'x,y,z'
'y,-x,-z'
'-x,-y,z'
'-y,x,-z'
'-x,y,z'
'-y,-x,-z'
'x,-y,z'
'y,x,-z'
loop_
_atom_site_label
_atom_site_fract_x
_atom_site_fract_y
_atom_site_fract_z
_atom_site_occupancy
U1 0.000 0.500 0.243 1
Be1 0.500 0.500 0.000 1
Co1 0.000 0.000 0.500 1
Co2 0.000 0.500 0.871 1
Co3 0.500 0.500 0.500 1
P1 0.000 0.000 0.000 1
P2 0.000 0.500 0.633 1
# magnetic moment: 3.08 μB per formula unit
# ΔH_f (0 K): -7.47 eV/f.u.

=====

# 3
# Ac12Pt5Rh PBE relaxed
data_Ac12Pt5Rh
_cell_length_a 7.595
_cell_length_b 13.439
_cell_length_c 14.026
_cell_angle_alpha 90.00
_cell_angle_beta 90.05
_cell_angle_gamma 90.00
_symmetry_space_group_name_H-M 'C 1 2/m 1'
_symmetry_Int_Tables_number 12
loop_
_symmetry_equiv_pos_as_xyz
'x,y,z'
'-x,-y,-z'
'-x,y,-z'
'x,-y,z'
'x+1/2,y+1/2,z'
'-x+1/2,-y+1/2,-z'
'-x+1/2,y+1/2,-z'
'x+1/2,-y+1/2,z'
loop_
_atom_site_label
_atom_site_fract_x
_atom_site_fract_y
_atom_site_fract_z
_atom_site_occupancy
Ac1 0.161 0.164 0.115 1
Ac2 0.164 0.000 0.384 1
Ac3 0.164 0.333 0.383 1
Ac4 0.170 0.500 0.114 1
Pt1 0.000 0.167 0.500 1
Pt2 0.000 0.333 0.000 1
Pt3 0.000 0.500 0.500 1
Rh1 0.000 0.000 0.000 1
# magnetic moment: 0.00 μB per formula unit
# ΔH_f (0 K): -13.63 eV/f.u.

=====

# 4
# Ac2PrPt PBE relaxed
data_Ac2PrPt
_cell_length_a 4.1129
_cell_length_b 4.1129
_cell_length_c 33.3554
_cell_angle_alpha 90.00
_cell_angle_beta 90.00
_cell_angle_gamma 120.00
_symmetry_space_group_name_H-M 'R -3 m'
_symmetry_Int_Tables_number 166
_symmetry_space_group_name_Hall '-R 3 2"'
loop_
_atom_site_label
_atom_site_fract_x
_atom_site_fract_y
_atom_site_fract_z
_atom_site_occupancy
Ac1 0.0000 0.0000 0.1118 1
Pr1 0.0000 0.0000 0.0000 1
Pt1 0.0000 0.0000 0.5000 1
# magnetic moment: 0.75 μB per formula unit
# ΔH_f (0 K): -1.24 eV/f.u.

=====

# 5
# DyLuCuSn PBE relaxed
data_DyLuCuSn
_cell_length_a 7.198
_cell_length_b 7.198
_cell_length_c 7.198
_cell_angle_alpha 90.00
_cell_angle_beta 90.00
_cell_angle_gamma 90.00
_symmetry_space_group_name_H-M 'F -4 3 m'
_symmetry_Int_Tables_number 216
_symmetry_space_group_name_Hall 'F -4 2 3'
loop_
_atom_site_label
_atom_site_fract_x
_atom_site_fract_y
_atom_site_fract_z
_atom_site_occupancy
Dy1 0.000 0.000 0.000 1
Lu1 0.000 0.000 0.500 1
Cu1 0.250 0.250 0.750 1
Sn1 0.250 0.250 0.250 1
# magnetic moment: 0.00 μB per formula unit
# ΔH_f (0 K): -1.63 eV/f.u.

=====

# 6
# Sr2CuOs PBE relaxed
data_Sr2CuOs
_cell_length_a 8.354
_cell_length_b 3.053
_cell_length_c 8.138
_cell_angle_alpha 90.00
_cell_angle_beta 95.65
_cell_angle_gamma 90.00
_symmetry_space_group_name_H-M 'C 1 2/m 1'
_symmetry_Int_Tables_number 12
loop_
_symmetry_equiv_pos_as_xyz
'x,y,z'
'-x,-y,-z'
'-x,y,-z'
'x,-y,z'
'x+1/2,y+1/2,z'
'-x+1/2,-y+1/2,-z'
'-x+1/2,y+1/2,-z'
'x+1/2,-y+1/2,z'
loop_
_atom_site_label
_atom_site_fract_x
_atom_site_fract_y
_atom_site_fract_z
_atom_site_occupancy
Sr1 0.248 0.000 0.233 1
Cu1 0.000 0.000 0.500 1
Os1 0.000 0.500 0.000 1
# magnetic moment: 0.01 μB per formula unit
# ΔH_f (0 K): 3.18 eV/f.u.

=====

# 7
# Tb2PdF PBE relaxed
data_Tb2PdF
_cell_length_a 4.0390
_cell_length_b 4.0390
_cell_length_c 17.9030
_cell_angle_alpha 90.00
_cell_angle_beta 90.00
_cell_angle_gamma 120.00
_symmetry_space_group_name_H-M 'R -3 m'
_symmetry_Int_Tables_number 166
_symmetry_space_group_name_Hall '-R 3 2"'
loop_
_atom_site_label
_atom_site_fract_x
_atom_site_fract_y
_atom_site_fract_z
_atom_site_occupancy
Tb1 0.0000 0.0000 0.2446 1
Pd1 0.0000 0.0000 0.0000 1
F1 0.0000 0.0000 0.5000 1
# magnetic moment: 0.00 μB per formula unit
# uncorrected energy: -0.207 Ha/atom

=====

# 8
# CuAgClF2 PBE relaxed
data_CuAgClF2
_cell_length_a 3.757
_cell_length_b 3.757
_cell_length_c 6.378
_cell_angle_alpha 90.00
_cell_angle_beta 90.00
_cell_angle_gamma 90.00
_symmetry_space_group_name_H-M 'P 4/m m m'
_symmetry_Int_Tables_number 123
_symmetry_space_group_name_Hall '-P 4 2'
loop_
_atom_site_label
_atom_site_fract_x
_atom_site_fract_y
_atom_site_fract_z
_atom_site_occupancy
Cu1 0.000 0.000 0.000 1
Ag1 0.000 0.000 0.500 1
Cl1 0.500 0.500 0.500 1
F1 0.000 0.500 0.000 1
# magnetic moment: 0.00 μB per formula unit
# uncorrected energy: -0.129 Ha/atom

=====

# 9
# SrSbAu PBE relaxed
data_SrSbAu
_cell_length_a 8.233
_cell_length_b 4.751
_cell_length_c 9.604
_cell_angle_alpha 90.00
_cell_angle_beta 106.53
_cell_angle_gamma 90.00
_symmetry_space_group_name_H-M 'C 1 m 1'
_symmetry_Int_Tables_number 8
loop_
_symmetry_equiv_pos_as_xyz
'x,y,z'
'x,-y,z'
'x+1/2,y+1/2,z'
'x+1/2,-y+1/2,z'
loop_
_atom_site_label
_atom_site_fract_x
_atom_site_fract_y
_atom_site_fract_z
_atom_site_occupancy
Sr1 0.000 0.000 0.000 1
Sr2 0.160 0.000 0.482 1
Sb1 0.084 0.500 0.752 1
Sb2 0.412 0.000 0.237 1
Au1 0.254 0.500 0.263 1
Au2 0.272 0.000 0.816 1
# magnetic moment: 0.00 μB per formula unit
# uncorrected energy: -0.142 Ha/atom

=====

# 10
# PmPuTcAg PBE relaxed
data_PmPuTcAg
_cell_length_a 7.112
_cell_length_b 7.112
_cell_length_c 7.112
_cell_angle_alpha 90.00
_cell_angle_beta 90.00
_cell_angle_gamma 90.00
_symmetry_space_group_name_H-M 'F -4 3 m'
_symmetry_Int_Tables_number 216
_symmetry_space_group_name_Hall 'F -4 2 3'
loop_
_atom_site_label
_atom_site_fract_x
_atom_site_fract_y
_atom_site_fract_z
_atom_site_occupancy
Pm1 0.000 0.000 0.000 1
Pu1 0.000 0.000 0.500 1
Tc1 0.250 0.250 0.250 1
Ag1 0.250 0.250 0.750 1
# magnetic moment: 4.59 μB per formula unit
# ΔH_f (0 K): 0.54 eV/f.u.

=====

# 11
# PaNiSn2 PBE relaxed
data_PaNiSn2
_cell_length_a 6.936
_cell_length_b 8.100
_cell_length_c 6.604
_cell_angle_alpha 90.00
_cell_angle_beta 90.00
_cell_angle_gamma 90.00
_symmetry_space_group_name_H-M 'P m n a'
_symmetry_Int_Tables_number 53
loop_
_symmetry_equiv_pos_as_xyz
'x,y,z'
'-x,-y,-z'
'-x+1/2,-y,z+1/2'
'x+1/2,y,-z+1/2'
'x,-y,-z'
'-x,y,z'
'-x+1/2,y,-z+1/2'
'x+1/2,-y,z+1/2'
loop_
_atom_site_label
_atom_site_fract_x
_atom_site_fract_y
_atom_site_fract_z
_atom_site_occupancy
Pa1 0.205 0.000 0.000 1
Ni1 0.000 0.159 0.319 1
Sn1 0.000 0.280 0.707 1
Sn2 0.250 0.399 0.250 1
# magnetic moment: 0.00 μB per formula unit
# ΔH_f (0 K): -0.52 eV/f.u.

=====

# 12
# RbTlP2Br PBE relaxed
data_RbTlP2Br
_cell_length_a 6.195
_cell_length_b 6.195
_cell_length_c 12.785
_cell_angle_alpha 90.00
_cell_angle_beta 90.00
_cell_angle_gamma 90.00
_symmetry_space_group_name_H-M 'P 4/m m m'
_symmetry_Int_Tables_number 123
_symmetry_space_group_name_Hall '-P 4 2'
loop_
_atom_site_label
_atom_site_fract_x
_atom_site_fract_y
_atom_site_fract_z
_atom_site_occupancy
Rb1 0.000 0.000 0.000 1
Tl1 0.000 0.000 0.500 1
P1 0.000 0.500 0.000 1
Br1 0.500 0.500 0.500 1
# magnetic moment: 5.00 μB per formula unit
# uncorrected energy: -0.078 Ha/atom

=====

# 13
# CrRhAu PBE relaxed
data_CrRhAu
_cell_length_a 2.801
_cell_length_b 5.599
_cell_length_c 11.963
_cell_angle_alpha 90.00
_cell_angle_beta 90.00
_cell_angle_gamma 90.00
_symmetry_space_group_name_H-M 'I m m m'
_symmetry_Int_Tables_number 71
_symmetry_space_group_name_Hall '-I 2 2'
loop_
_atom_site_label
_atom_site_fract_x
_atom_site_fract_y
_atom_site_fract_z
_atom_site_occupancy
Cr1 0.000 0.248 0.000 1
Rh1 0.000 0.000 0.368 1
Au1 0.000 0.500 0.337 1
# magnetic moment: 2.16 μB per formula unit
# ΔH_f (0 K): 0.51 eV/f.u.

=====

# 14
# Tb6Pr2Ho3Sc PBE relaxed
data_Tb6Pr2Ho3Sc
_cell_length_a 6.148
_cell_length_b 10.647
_cell_length_c 11.797
_cell_angle_alpha 90.00
_cell_angle_beta 99.98
_cell_angle_gamma 90.00
_symmetry_space_group_name_H-M 'C 1 2/m 1'
_symmetry_Int_Tables_number 12
loop_
_symmetry_equiv_pos_as_xyz
'x,y,z'
'-x,-y,-z'
'-x,y,-z'
'x,-y,z'
'x+1/2,y+1/2,z'
'-x+1/2,-y+1/2,-z'
'-x+1/2,y+1/2,-z'
'x+1/2,-y+1/2,z'
loop_
_atom_site_label
_atom_site_fract_x
_atom_site_fract_y
_atom_site_fract_z
_atom_site_occupancy
Tb1 0.246 0.000 0.248 1
Tb2 0.248 0.165 0.752 1
Pr1 0.000 0.334 0.500 1
Ho1 0.000 0.166 0.000 1
Ho2 0.000 0.500 0.000 1
Sc1 0.000 0.000 0.500 1
# magnetic moment: 0.00 μB per formula unit
# ΔH_f (0 K): 0.31 eV/f.u.

=====

# 15
# Rb3AlTe3 PBE relaxed
data_Rb3AlTe3
_cell_length_a 9.853
_cell_length_b 14.924
_cell_length_c 8.722
_cell_angle_alpha 90.00
_cell_angle_beta 102.21
_cell_angle_gamma 90.00
_symmetry_space_group_name_H-M 'C 1 2/m 1'
_symmetry_Int_Tables_number 12
loop_
_symmetry_equiv_pos_as_xyz
'x,y,z'
'-x,-y,-z'
'-x,y,-z'
'x,-y,z'
'x+1/2,y+1/2,z'
'-x+1/2,-y+1/2,-z'
'-x+1/2,y+1/2,-z'
'x+1/2,-y+1/2,z'
loop_
_atom_site_label
_atom_site_fract_x
_atom_site_fract_y
_atom_site_fract_z
_atom_site_occupancy
Rb1 0.000 0.177 0.000 1
Rb2 0.000 0.243 0.500 1
Rb3 0.108 0.500 0.854 1
Al1 0.166 0.000 0.650 1
Te1 0.104 0.000 0.332 1
Te2 0.207 0.356 0.225 1
# magnetic moment: 0.00 μB per formula unit
# uncorrected energy: -0.119 Ha/atom

=====

# 16
# CaLaP2 PBE relaxed
data_CaLaP2
_cell_length_a 7.639
_cell_length_b 7.639
_cell_length_c 7.218
_cell_angle_alpha 90.00
_cell_angle_beta 90.00
_cell_angle_gamma 90.00
_symmetry_space_group_name_H-M 'I -4 2 d'
_symmetry_Int_Tables_number 122
_symmetry_space_group_name_Hall 'I -4 2bw'
loop_
_atom_site_label
_atom_site_fract_x
_atom_site_fract_y
_atom_site_fract_z
_atom_site_occupancy
Ca1 0.000 0.000 0.000 1
La1 0.000 0.000 0.500 1
P1 0.244 0.250 0.125 1
# magnetic moment: 0.00 μB per formula unit
# ΔH_f (0 K): -3.75 eV/f.u.

=====

# 17
# KCdIn2Co PBE relaxed
data_KCdIn2Co
_cell_length_a 5.004
_cell_length_b 5.004
_cell_length_c 5.208
_cell_angle_alpha 90.00
_cell_angle_beta 90.00
_cell_angle_gamma 90.00
_symmetry_space_group_name_H-M 'P 4/m m m'
_symmetry_Int_Tables_number 123
_symmetry_space_group_name_Hall '-P 4 2'
loop_
_atom_site_label
_atom_site_fract_x
_atom_site_fract_y
_atom_site_fract_z
_atom_site_occupancy
K1 0.000 0.000 0.000 1
Cd1 0.500 0.500 0.000 1
In1 0.000 0.500 0.500 1
Co1 0.500 0.500 0.500 1
# magnetic moment: 0.00 μB per formula unit
# ΔH_f (0 K): -0.20 eV/f.u.

=====

# 18
# Pr3Zn11 PBE relaxed
data_Pr3Zn11
_cell_length_a 4.528
_cell_length_b 8.868
_cell_length_c 13.426
_cell_angle_alpha 90.00
_cell_angle_beta 90.00
_cell_angle_gamma 90.00
_symmetry_space_group_name_H-M 'I m m m'
_symmetry_Int_Tables_number 71
_symmetry_space_group_name_Hall '-I 2 2'
loop_
_atom_site_label
_atom_site_fract_x
_atom_site_fract_y
_atom_site_fract_z
_atom_site_occupancy
Pr1 0.000 0.000 0.000 1
Pr2 0.000 0.000 0.295 1
Zn1 0.000 0.179 0.500 1
Zn2 0.000 0.281 0.140 1
Zn3 0.000 0.358 0.344 1
Zn4 0.000 0.500 0.000 1
# magnetic moment: 0.00 μB per formula unit
# ΔH_f (0 K): -4.45 eV/f.u.

=====

# 19
# Sr2Mg15Al2 PBE relaxed
data_Sr2Mg15Al2
_cell_length_a 10.3710
_cell_length_b 10.3710
_cell_length_c 15.2644
_cell_angle_alpha 90.00
_cell_angle_beta 90.00
_cell_angle_gamma 120.00
_symmetry_space_group_name_H-M 'R -3 m'
_symmetry_Int_Tables_number 166
_symmetry_space_group_name_Hall '-R 3 2"'
loop_
_atom_site_label
_atom_site_fract_x
_atom_site_fract_y
_atom_site_fract_z
_atom_site_occupancy
Sr1 0.0000 0.0000 0.1699 1
Mg1 0.0000 0.2965 0.5000 1
Mg2 0.0000 0.5000 0.0000 1
Mg3 0.0025 0.5013 0.6546 1
Al1 0.0000 0.0000 0.4085 1
# magnetic moment: 0.00 μB per formula unit
# ΔH_f (0 K): -0.73 eV/f.u.

=====

# 20
# Dy3Ni4P4 PBE relaxed
data_Dy3Ni4P4
_cell_length_a 3.868
_cell_length_b 3.881
_cell_length_c 22.835
_cell_angle_alpha 90.00
_cell_angle_beta 90.00
_cell_angle_gamma 90.00
_symmetry_space_group_name_H-M 'I m m m'
_symmetry_Int_Tables_number 71
_symmetry_space_group_name_Hall '-I 2 2'
loop_
_atom_site_label
_atom_site_fract_x
_atom_site_fract_y
_atom_site_fract_z
_atom_site_occupancy
Dy1 0.000 0.000 0.000 1
Dy2 0.000 0.500 0.351 1
Ni1 0.000 0.000 0.250 1
Ni2 0.000 0.500 0.096 1
P1 0.000 0.000 0.449 1
P2 0.000 0.500 0.194 1
# magnetic moment: 0.00 μB per formula unit
# ΔH_f (0 K): -12.57 eV/f.u.

=====

# 21
# NaTi2P3O12 PBE relaxed
data_NaTi2P3O12
_cell_length_a 8.650
_cell_length_b 8.691
_cell_length_c 8.894
_cell_angle_alpha 61.02
_cell_angle_beta 89.99
_cell_angle_gamma 60.15
_symmetry_space_group_name_H-M 'P -1'
_symmetry_Int_Tables_number 2
loop_
_symmetry_equiv_pos_as_xyz
'x,y,z'
'-x,-y,-z'
loop_
_atom_site_label
_atom_site_fract_x
_atom_site_fract_y
_atom_site_fract_z
_atom_site_occupancy
Na1 0.119 0.499 0.251 1
Ti1 0.146 0.717 0.432 1
Ti2 0.363 0.283 0.068 1
P1 0.026 0.222 0.240 1
P2 0.251 0.222 0.741 1
P3 0.464 0.500 0.250 1
O1 0.013 0.739 0.607 1
O2 0.058 0.009 0.294 1
O3 0.078 0.215 0.715 1
O4 0.138 0.594 0.938 1
O5 0.207 0.215 0.216 1
O6 0.233 0.405 0.563 1
O7 0.252 0.261 0.893 1
O8 0.282 0.653 0.268 1
O9 0.367 0.635 0.580 1
O10 0.433 0.009 0.794 1
O11 0.436 0.346 0.232 1
O12 0.499 0.634 0.081 1
# magnetic moment: 0.00 μB per formula unit
# uncorrected energy: -0.282 Ha/atom

=====

# 22
# Ac3Te PBE relaxed
data_Ac3Te
_cell_length_a 5.206
_cell_length_b 5.206
_cell_length_c 11.409
_cell_angle_alpha 90.00
_cell_angle_beta 90.00
_cell_angle_gamma 90.00
_symmetry_space_group_name_H-M 'I 4/m m m'
_symmetry_Int_Tables_number 139
_symmetry_space_group_name_Hall '-I 4 2'
loop_
_atom_site_label
_atom_site_fract_x
_atom_site_fract_y
_atom_site_fract_z
_atom_site_occupancy
Ac1 0.000 0.000 0.000 1
Ac2 0.000 0.500 0.250 1
Te1 0.000 0.000 0.500 1
# magnetic moment: 0.00 μB per formula unit
# uncorrected energy: -0.157 Ha/atom

=====

# 23
# Ta2BeSn PBE relaxed
data_Ta2BeSn
_cell_length_a 6.485
_cell_length_b 6.485
_cell_length_c 6.485
_cell_angle_alpha 90.00
_cell_angle_beta 90.00
_cell_angle_gamma 90.00
_symmetry_space_group_name_H-M 'F m -3 m'
_symmetry_Int_Tables_number 225
_symmetry_space_group_name_Hall '-F 4 2 3'
loop_
_atom_site_label
_atom_site_fract_x
_atom_site_fract_y
_atom_site_fract_z
_atom_site_occupancy
Ta1 0.250 0.250 0.250 1
Be1 0.000 0.000 0.000 1
Sn1 0.000 0.000 0.500 1
# magnetic moment: 0.00 μB per formula unit
# ΔH_f (0 K): 1.88 eV/f.u.